1.
# PBE Ga4Bi, relaxed
data_Ga4Bi
_chemical_formula_sum 'Ga4 Bi1'
_space_group_name_H-M_alt 'P 1'
_space_group_IT_number 1
_cell_length_a 5.6360
_cell_length_b 5.6360
_cell_length_c 5.6360
_cell_angle_alpha 90.00
_cell_angle_beta 90.00
_cell_angle_gamma 90.00
loop_
_space_group_symop_operation_xyz
'x,y,z'
loop_
_atom_site_label
_atom_site_fract_x
_atom_site_fract_y
_atom_site_fract_z
Bi1 0.5000 0.5000 0.5000
Ga1 0.0000 0.5000 0.5000
Ga2 0.5000 0.0000 0.5000
Ga3 0.0000 0.0000 0.0000
Ga4 0.5000 0.5000 0.0000
# V: 179.03 Å³ per cell
# Energy relative to the lowest polymorph listed for this composition: 698 meV per atom
# Energy: -2.4448 eV/atom
# E_form: 0.7528 eV per atom
# M_tot: 0.000 μB per atom



2.
# PBE LiNb2PBr, relaxed
data_LiNb2PBr
_chemical_formula_sum 'Li1 Nb2 P1 Br1'
_space_group_name_H-M_alt 'P 1'
_space_group_IT_number 1
_cell_length_a 4.6535
_cell_length_b 3.8940
_cell_length_c 4.6535
_cell_angle_alpha 90.00
_cell_angle_beta 90.00
_cell_angle_gamma 90.00
loop_
_space_group_symop_operation_xyz
'x,y,z'
loop_
_atom_site_label
_atom_site_fract_x
_atom_site_fract_y
_atom_site_fract_z
Nb1 0.0000 0.0000 0.5000
Nb2 0.5000 0.0000 0.0000
Br1 0.0000 0.5000 0.0000
P1 0.5000 0.5000 0.5000
Li1 0.0000 0.0000 0.0000
# V: 84.32 Å³ per cell
# Uncorrected formation energy: 440.8 kJ/mol of formula units
# Energy: -4.9135 eV/atom
# M_tot: 0.000 μB per atom



3.
# PBE Pr2PaS6, relaxed
data_Pr2PaS6
_chemical_formula_sum 'Pr4 Pa2 S12'
_space_group_name_H-M_alt 'P 1'
_space_group_IT_number 1
_cell_length_a 6.5068
_cell_length_b 6.5068
_cell_length_c 12.6869
_cell_angle_alpha 90.00
_cell_angle_beta 90.00
_cell_angle_gamma 90.00
loop_
_space_group_symop_operation_xyz
'x,y,z'
loop_
_atom_site_label
_atom_site_fract_x
_atom_site_fract_y
_atom_site_fract_z
Pr1 0.5000 0.5000 0.1679
Pr2 0.5000 0.5000 0.8321
Pr3 0.0000 0.0000 0.6679
Pr4 0.0000 0.0000 0.3321
S1 0.6907 0.6907 0.6549
S2 0.2110 0.7890 0.5000
S3 0.8093 0.1907 0.1549
S4 0.6907 0.6907 0.3451
S5 0.3093 0.3093 0.3451
S6 0.7890 0.2110 0.5000
S7 0.1907 0.8093 0.1549
S8 0.2890 0.2890 0.0000
S9 0.3093 0.3093 0.6549
S10 0.7110 0.7110 0.0000
S11 0.1907 0.8093 0.8451
S12 0.8093 0.1907 0.8451
Pa1 0.5000 0.5000 0.5000
Pa2 0.0000 0.0000 0.0000
# V: 537.15 Å³ per cell
# Uncorrected formation energy: -1360.8 kJ/mol of formula units
# Energy: -6.4359 eV/atom
# M_tot: 0.000 μB per atom



4.
# PBE Ni4AgBr, relaxed
data_Ni4AgBr
_chemical_formula_sum 'Ni4 Ag1 Br1'
_space_group_name_H-M_alt 'P 1'
_space_group_IT_number 1
_cell_length_a 4.9244
_cell_length_b 4.9244
_cell_length_c 4.9244
_cell_angle_alpha 60.00
_cell_angle_beta 60.00
_cell_angle_gamma 60.00
loop_
_space_group_symop_operation_xyz
'x,y,z'
loop_
_atom_site_label
_atom_site_fract_x
_atom_site_fract_y
_atom_site_fract_z
Ag1 0.7500 0.7500 0.7500
Ni1 0.3753 0.3753 0.8741
Ni2 0.3753 0.8741 0.3753
Ni3 0.3753 0.3753 0.3753
Ni4 0.8741 0.3753 0.3753
Br1 0.0000 0.0000 0.0000
# V: 84.44 Å³ per cell
# Uncorrected formation energy: 302.8 kJ/mol of formula units
# Energy: -4.0852 eV/atom
# M_tot: 0.336 μB per atom



5.
# PBE Tb3Dy3Sc2, relaxed
data_Tb3Dy3Sc2
_chemical_formula_sum 'Tb3 Dy3 Sc2'
_space_group_name_H-M_alt 'P 1'
_space_group_IT_number 1
_cell_length_a 4.9247
_cell_length_b 4.9207
_cell_length_c 9.8199
_cell_angle_alpha 90.00
_cell_angle_beta 90.00
_cell_angle_gamma 90.00
loop_
_space_group_symop_operation_xyz
'x,y,z'
loop_
_atom_site_label
_atom_site_fract_x
_atom_site_fract_y
_atom_site_fract_z
Tb1 0.0000 0.5000 0.0000
Tb2 0.5000 0.0000 0.5000
Tb3 0.0000 0.5000 0.5000
Sc1 0.0000 0.0000 0.2497
Sc2 0.0000 0.0000 0.7503
Dy1 0.5000 0.0000 0.0000
Dy2 0.5000 0.5000 0.2499
Dy3 0.5000 0.5000 0.7501
# V: 237.97 Å³ per cell
# Energy relative to the lowest polymorph listed for this composition: 0 meV per atom
# Energy: -5.0056 eV/atom
# E_form: 0.0394 eV per atom
# M_tot: 0.000 μB per atom



6.
# PBE LiBiPbO5, relaxed
data_LiBiPbO5
_chemical_formula_sum 'Li2 Bi2 Pb2 O10'
_space_group_name_H-M_alt 'P 1'
_space_group_IT_number 1
_cell_length_a 5.7594
_cell_length_b 5.7594
_cell_length_c 7.7472
_cell_angle_alpha 103.88
_cell_angle_beta 103.88
_cell_angle_gamma 108.29
loop_
_space_group_symop_operation_xyz
'x,y,z'
loop_
_atom_site_label
_atom_site_fract_x
_atom_site_fract_y
_atom_site_fract_z
O1 0.0102 0.6598 0.8148
O2 0.8644 0.1356 0.7500
O3 0.3402 0.9898 0.6852
O4 0.6134 0.6955 0.9414
O5 0.3866 0.3045 0.0586
O6 0.6598 0.0102 0.3148
O7 0.6955 0.6134 0.4414
O8 0.9898 0.3402 0.1852
O9 0.3045 0.3866 0.5586
O10 0.1356 0.8644 0.2500
Pb1 0.0000 0.0000 0.0000
Pb2 0.0000 0.0000 0.5000
Bi1 0.6306 0.3694 0.7500
Bi2 0.3694 0.6306 0.2500
Li1 0.3128 0.6872 0.7500
Li2 0.6872 0.3128 0.2500
# V: 222.60 Å³ per cell
# Uncorrected formation energy: -684.5 kJ/mol of formula units
# Energy: -5.1736 eV/atom
# M_tot: 0.000 μB per atom



7.
# PBE K2HfIr, relaxed
data_K2HfIr
_chemical_formula_sum 'K4 Hf2 Ir2'
_space_group_name_H-M_alt 'P 1'
_space_group_IT_number 1
_cell_length_a 12.2436
_cell_length_b 12.2436
_cell_length_c 8.9907
_cell_angle_alpha 47.09
_cell_angle_beta 47.09
_cell_angle_gamma 90.00
loop_
_space_group_symop_operation_xyz
'x,y,z'
loop_
_atom_site_label
_atom_site_fract_x
_atom_site_fract_y
_atom_site_fract_z
Ir1 0.0000 0.0000 0.0000
Ir2 0.7500 0.2500 0.5000
K1 0.7758 0.1250 0.2500
K2 0.8750 0.0258 0.7500
K3 0.9742 0.6250 0.2500
K4 0.3750 0.2242 0.7500
Hf1 0.5000 0.5000 0.0000
Hf2 0.2500 0.7500 0.5000
# V: 363.49 Å³ per cell
# Energy relative to the lowest polymorph listed for this composition: 0 meV per atom
# Energy: -4.4913 eV/atom
# E_form: 0.7610 eV per atom
# M_tot: 0.000 μB per atom



8.
# PBE Be7W6, relaxed
data_Be7W6
_chemical_formula_sum 'Be7 W6'
_space_group_name_H-M_alt 'P 1'
_space_group_IT_number 1
_cell_length_a 8.9513
_cell_length_b 8.9513
_cell_length_c 8.9513
_cell_angle_alpha 29.58
_cell_angle_beta 29.58
_cell_angle_gamma 29.58
loop_
_space_group_symop_operation_xyz
'x,y,z'
loop_
_atom_site_label
_atom_site_fract_x
_atom_site_fract_y
_atom_site_fract_z
Be1 0.0917 0.5940 0.5940
Be2 0.5940 0.0917 0.5940
Be3 0.9083 0.4060 0.4060
Be4 0.4060 0.9083 0.4060
Be5 0.5940 0.5940 0.0917
Be6 0.5000 0.5000 0.5000
Be7 0.4060 0.4060 0.9083
W1 0.0493 0.0493 0.0493
W2 0.3416 0.3416 0.3416
W3 0.9507 0.9507 0.9507
W4 0.8501 0.8501 0.8501
W5 0.6584 0.6584 0.6584
W6 0.1499 0.1499 0.1499
# V: 154.67 Å³ per cell
# Energy: -8.1094 eV/atom
# E_form: -0.1246 eV per atom
# M_tot: 0.000 μB per atom



9.
# PBE Zn2TcO, relaxed
data_Zn2TcO
_chemical_formula_sum 'Zn4 Tc2 O2'
_space_group_name_H-M_alt 'P 1'
_space_group_IT_number 1
_cell_length_a 7.2339
_cell_length_b 7.2339
_cell_length_c 5.5154
_cell_angle_alpha 49.02
_cell_angle_beta 49.02
_cell_angle_gamma 90.00
loop_
_space_group_symop_operation_xyz
'x,y,z'
loop_
_atom_site_label
_atom_site_fract_x
_atom_site_fract_y
_atom_site_fract_z
O1 0.2500 0.7500 0.5000
O2 0.5000 0.5000 0.0000
Tc1 0.7500 0.2500 0.5000
Tc2 0.0000 0.0000 0.0000
Zn1 0.5450 0.1250 0.2500
Zn2 0.3750 0.4550 0.7500
Zn3 0.2050 0.6250 0.2500
Zn4 0.8750 0.7950 0.7500
# V: 107.94 Å³ per cell
# Uncorrected formation energy: 5.6 kJ/mol of formula units
# Energy: -4.4536 eV/atom
# M_tot: 0.000 μB per atom



10.
# PBE TbNdDyHg, relaxed
data_TbNdDyHg
_chemical_formula_sum 'Tb1 Nd1 Dy1 Hg1'
_space_group_name_H-M_alt 'P 1'
_space_group_IT_number 1
_cell_length_a 3.6611
_cell_length_b 3.6611
_cell_length_c 8.8839
_cell_angle_alpha 90.00
_cell_angle_beta 90.00
_cell_angle_gamma 90.00
loop_
_space_group_symop_operation_xyz
'x,y,z'
loop_
_atom_site_label
_atom_site_fract_x
_atom_site_fract_y
_atom_site_fract_z
Dy1 0.5000 0.5000 0.3549
Tb1 0.5000 0.5000 0.7883
Nd1 0.0000 0.0000 0.0721
Hg1 0.0000 0.0000 0.5694
# V: 119.08 Å³ per cell
# Energy relative to the lowest polymorph listed for this composition: 0 meV per atom
# Energy: -3.8082 eV/atom
# E_form: -0.2327 eV per atom
# M_tot: 0.000 μB per atom



11.
# PBE Sc5ZnIr4, relaxed
data_Sc5ZnIr4
_chemical_formula_sum 'Sc5 Zn1 Ir4'
_space_group_name_H-M_alt 'P 1'
_space_group_IT_number 1
_cell_length_a 3.2136
_cell_length_b 3.2136
_cell_length_c 16.6767
_cell_angle_alpha 90.00
_cell_angle_beta 90.00
_cell_angle_gamma 90.00
loop_
_space_group_symop_operation_xyz
'x,y,z'
loop_
_atom_site_label
_atom_site_fract_x
_atom_site_fract_y
_atom_site_fract_z
Ir1 0.0000 0.0000 0.5984
Ir2 0.0000 0.0000 0.7969
Ir3 0.0000 0.0000 0.2031
Ir4 0.0000 0.0000 0.4016
Zn1 0.0000 0.0000 0.0000
Sc1 0.5000 0.5000 0.1077
Sc2 0.5000 0.5000 0.6966
Sc3 0.5000 0.5000 0.3034
Sc4 0.5000 0.5000 0.5000
Sc5 0.5000 0.5000 0.8923
# V: 172.22 Å³ per cell
# Energy: -7.7363 eV/atom
# E_form: -0.8987 eV per atom
# M_tot: 0.000 μB per atom



12.
# PBE Y3OsI3, relaxed
data_Y3OsI3
_chemical_formula_sum 'Y6 Os2 I6'
_space_group_name_H-M_alt 'P 1'
_space_group_IT_number 1
_cell_length_a 4.2906
_cell_length_b 8.8682
_cell_length_c 12.3491
_cell_angle_alpha 93.64
_cell_angle_beta 90.00
_cell_angle_gamma 90.00
loop_
_space_group_symop_operation_xyz
'x,y,z'
loop_
_atom_site_label
_atom_site_fract_x
_atom_site_fract_y
_atom_site_fract_z
I1 0.7500 0.1417 0.1070
I2 0.2500 0.3466 0.8603
I3 0.7500 0.6534 0.1397
I4 0.2500 0.8583 0.8930
I5 0.2500 0.4308 0.3673
I6 0.7500 0.5692 0.6327
Y1 0.2500 0.2495 0.6007
Y2 0.7500 0.7505 0.3993
Y3 0.2500 0.9050 0.1883
Y4 0.2500 0.8574 0.6297
Y5 0.7500 0.0950 0.8117
Y6 0.7500 0.1426 0.3703
Os1 0.7500 0.0447 0.5881
Os2 0.2500 0.9553 0.4119
# V: 468.93 Å³ per cell
# Uncorrected formation energy: -646.6 kJ/mol of formula units
# Energy: -5.9962 eV/atom
# M_tot: 0.000 μB per atom



Copy entry 1 word for word.
# PBE Ga4Bi, relaxed
data_Ga4Bi
_chemical_formula_sum 'Ga4 Bi1'
_space_group_name_H-M_alt 'P 1'
_space_group_IT_number 1
_cell_length_a 5.6360
_cell_length_b 5.6360
_cell_length_c 5.6360
_cell_angle_alpha 90.00
_cell_angle_beta 90.00
_cell_angle_gamma 90.00
loop_
_space_group_symop_operation_xyz
'x,y,z'
loop_
_atom_site_label
_atom_site_fract_x
_atom_site_fract_y
_atom_site_fract_z
Bi1 0.5000 0.5000 0.5000
Ga1 0.0000 0.5000 0.5000
Ga2 0.5000 0.0000 0.5000
Ga3 0.0000 0.0000 0.0000
Ga4 0.5000 0.5000 0.0000
# V: 179.03 Å³ per cell
# Energy relative to the lowest polymorph listed for this composition: 698 meV per atom
# Energy: -2.4448 eV/atom
# E_form: 0.7528 eV per atom
# M_tot: 0.000 μB per atom



- Which value of energy does entry 5 give?
  -5.0056 eV/atom



- Which of these has the highest V?
  Pr2PaS6